1.
NaAlCl3 after structural relaxation. Source: Alexandria via LeMat-Bulk, functional PBEsol.

Geometry as CIF:
```
data_NaAlCl3
_cell_length_a 4.9444
_cell_length_b 4.9444
_cell_length_c 4.9444
_cell_angle_alpha 90.00
_cell_angle_beta 90.00
_cell_angle_gamma 90.00
_symmetry_space_group_name_H-M 'P 1'
_symmetry_Int_Tables_number 1
_symmetry_space_group_name_Hall 'P 1'
loop_
_atom_site_label
_atom_site_fract_x
_atom_site_fract_y
_atom_site_fract_z
_atom_site_occupancy
Cl1 0.0000 0.5000 0.0000 1
Cl2 0.5000 0.0000 0.0000 1
Cl3 0.0000 0.0000 0.5000 1
Al1 0.0000 0.0000 0.0000 1
Na1 0.5000 0.5000 0.5000 1
```

Results
uncorrected formation energy: -6.07 eV per formula unit
symmetry: No. 221
magnetic moment: 0.00 μB/f.u.

---

2.
NaAl3Cl after structural relaxation. Source: Alexandria via LeMat-Bulk, functional PBEsol.

Geometry as CIF:
```
data_NaAl3Cl
_cell_length_a 5.2769
_cell_length_b 5.2769
_cell_length_c 5.2769
_cell_angle_alpha 90.00
_cell_angle_beta 90.00
_cell_angle_gamma 90.00
_symmetry_space_group_name_H-M 'P 1'
_symmetry_Int_Tables_number 1
_symmetry_space_group_name_Hall 'P 1'
loop_
_atom_site_label
_atom_site_fract_x
_atom_site_fract_y
_atom_site_fract_z
_atom_site_occupancy
Na1 0.0000 0.0000 0.0000 1
Al1 0.0000 0.5000 0.0000 1
Al2 0.5000 0.0000 0.0000 1
Al3 0.0000 0.0000 0.5000 1
Cl1 0.5000 0.5000 0.5000 1
```

Results
uncorrected formation energy: 4.65 eV per formula unit
symmetry: No. 221
magnetic moment: 0.00 μB/f.u.

---

3.
Na4Al3Si3ClO12 after structural relaxation. Source: Alexandria via LeMat-Bulk, functional PBEsol.

Geometry as CIF:
```
data_Na4Al3Si3ClO12
_cell_length_a 7.7131
_cell_length_b 7.6976
_cell_length_c 7.6976
_cell_angle_alpha 70.88
_cell_angle_beta 70.02
_cell_angle_gamma 109.23
_symmetry_space_group_name_H-M 'P 1'
_symmetry_Int_Tables_number 1
_symmetry_space_group_name_Hall 'P 1'
loop_
_atom_site_label
_atom_site_fract_x
_atom_site_fract_y
_atom_site_fract_z
_atom_site_occupancy
Al1 0.7415 0.2521 0.5076 1
Al2 0.2585 0.7509 0.4895 1
Al3 0.5000 0.2514 0.2486 1
O1 0.5905 0.5877 0.7148 1
O2 0.6966 0.9882 0.6056 1
O3 0.3034 0.6978 0.7085 1
O4 0.4324 0.0023 0.2756 1
O5 0.0029 0.4209 0.2882 1
O6 0.4095 0.6946 0.0029 1
O7 0.2860 0.5669 0.4097 1
O8 0.5676 0.2920 0.4301 1
O9 0.9971 0.7089 0.5819 1
O10 0.2814 0.2909 0.2728 1
O11 0.7186 0.4458 0.9905 1
O12 0.7140 0.3043 0.7191 1
Na1 0.6505 0.9998 0.9939 1
Na2 0.0023 0.6494 0.0012 1
Na3 0.3495 0.3555 0.6507 1
Na4 0.9977 0.9965 0.3529 1
Si1 0.2416 0.4886 0.2497 1
Si2 0.7584 0.5087 0.7530 1
Si3 0.5000 0.7465 0.7535 1
Cl1 0.0000 0.0003 0.9997 1
```

Results
uncorrected formation energy: -61.26 eV per formula unit
symmetry: No. 5
magnetic moment: 0.06 μB/f.u.

---

4.
Na4Al3Si9ClO24 after structural relaxation. Source: Alexandria via LeMat-Bulk, functional PBEsol.

Geometry as CIF:
```
data_Na4Al3Si9ClO24
_cell_length_a 7.6058
_cell_length_b 9.2904
_cell_length_c 9.3109
_cell_angle_alpha 80.50
_cell_angle_beta 66.33
_cell_angle_gamma 66.43
_symmetry_space_group_name_H-M 'P 1'
_symmetry_Int_Tables_number 1
_symmetry_space_group_name_Hall 'P 1'
loop_
_atom_site_label
_atom_site_fract_x
_atom_site_fract_y
_atom_site_fract_z
_atom_site_occupancy
O1 0.5641 0.9031 0.3534 1
O2 0.8488 0.6081 0.2915 1
O3 0.4175 0.3722 0.1084 1
O4 0.8598 0.2920 0.4042 1
O5 0.2995 0.5798 0.8034 1
O6 0.9074 0.6495 0.9016 1
O7 0.5477 0.8046 0.1111 1
O8 0.6452 0.8912 0.8118 1
O9 0.1145 0.1733 0.5687 1
O10 0.5831 0.7047 0.5870 1
O11 0.4435 0.0964 0.6508 1
O12 0.7421 0.3828 0.6999 1
O13 0.4735 0.1905 0.8950 1
O14 0.3497 0.1068 0.1953 1
O15 0.1413 0.4109 0.7082 1
O16 0.5630 0.6325 0.9043 1
O17 0.0941 0.3500 0.0874 1
O18 0.8900 0.8177 0.4211 1
O19 0.2131 0.8890 0.3663 1
O20 0.2623 0.6019 0.3031 1
O21 0.1189 0.7009 0.6007 1
O22 0.4325 0.3053 0.3955 1
O23 0.8006 0.0931 0.6339 1
O24 0.6749 0.4378 0.1818 1
Si1 0.8797 0.2417 0.5737 1
Si2 0.3296 0.2529 0.0714 1
Si3 0.1232 0.5784 0.7503 1
Si4 0.4190 0.9275 0.2535 1
Si5 0.5863 0.0700 0.7495 1
Si6 0.6616 0.7444 0.9318 1
Si7 0.4489 0.4280 0.2515 1
Si8 0.7210 0.7492 0.4166 1
Si9 0.1230 0.7486 0.4247 1
Al1 0.8650 0.4254 0.2489 1
Al2 0.2809 0.2542 0.5770 1
Al3 0.5540 0.5688 0.7418 1
Na1 0.2443 0.9283 0.6872 1
Na2 0.7726 0.0910 0.3381 1
Na3 0.1288 0.6640 0.0671 1
Na4 0.8712 0.3358 0.9214 1
Cl1 0.0036 0.9978 0.0112 1
```

Results
uncorrected formation energy: -112.03 eV per formula unit
symmetry: No. 1
magnetic moment: 0.07 μB/f.u.

---

5.
Rb2NaAlCl6 after structural relaxation. Source: Alexandria via LeMat-Bulk, functional PBEsol.

Geometry as CIF:
```
data_Rb2NaAlCl6
_cell_length_a 7.1131
_cell_length_b 7.1131
_cell_length_c 7.1131
_cell_angle_alpha 60.00
_cell_angle_beta 60.00
_cell_angle_gamma 60.00
_symmetry_space_group_name_H-M 'P 1'
_symmetry_Int_Tables_number 1
_symmetry_space_group_name_Hall 'P 1'
loop_
_atom_site_label
_atom_site_fract_x
_atom_site_fract_y
_atom_site_fract_z
_atom_site_occupancy
Cl1 0.7691 0.7691 0.2309 1
Cl2 0.2309 0.7691 0.7691 1
Cl3 0.7691 0.2309 0.2309 1
Cl4 0.2309 0.2309 0.7691 1
Cl5 0.2309 0.7691 0.2309 1
Cl6 0.7691 0.2309 0.7691 1
Al1 0.0000 0.0000 0.0000 1
Na1 0.5000 0.5000 0.5000 1
Rb1 0.7500 0.7500 0.7500 1
Rb2 0.2500 0.2500 0.2500 1
```

Results
uncorrected formation energy: -17.93 eV per formula unit
symmetry: No. 225
magnetic moment: 0.00 μB/f.u.

---

6.
NbAlCl2 after structural relaxation. Source: Alexandria via LeMat-Bulk, functional PBEsol.

Geometry as CIF:
```
data_NbAlCl2
_cell_length_a 3.0900
_cell_length_b 3.0900
_cell_length_c 9.4404
_cell_angle_alpha 80.58
_cell_angle_beta 80.58
_cell_angle_gamma 60.00
_symmetry_space_group_name_H-M 'P 1'
_symmetry_Int_Tables_number 1
_symmetry_space_group_name_Hall 'P 1'
loop_
_atom_site_label
_atom_site_fract_x
_atom_site_fract_y
_atom_site_fract_z
_atom_site_occupancy
Cl1 0.9155 0.9155 0.2536 1
Cl2 0.0845 0.0845 0.7464 1
Al1 0.5000 0.5000 0.5000 1
Nb1 0.0000 0.0000 0.0000 1
```

Results
uncorrected formation energy: -0.81 eV per formula unit
symmetry: No. 166
magnetic moment: 0.00 μB/f.u.

---

7.
NbAlP2Cl after structural relaxation. Source: Alexandria via LeMat-Bulk, functional PBEsol.

Geometry as CIF:
```
data_NbAlP2Cl
_cell_length_a 4.4754
_cell_length_b 4.5799
_cell_length_c 4.5799
_cell_angle_alpha 90.00
_cell_angle_beta 90.00
_cell_angle_gamma 90.00
_symmetry_space_group_name_H-M 'P 1'
_symmetry_Int_Tables_number 1
_symmetry_space_group_name_Hall 'P 1'
loop_
_atom_site_label
_atom_site_fract_x
_atom_site_fract_y
_atom_site_fract_z
_atom_site_occupancy
Al1 0.0000 0.0000 0.0000 1
P1 0.0000 0.5000 0.0000 1
P2 0.0000 0.0000 0.5000 1
Nb1 0.5000 0.5000 0.5000 1
Cl1 0.5000 0.0000 0.0000 1
```

Results
uncorrected formation energy: 2.69 eV per formula unit
symmetry: No. 123
magnetic moment: 1.89 μB/f.u.

---

8.
NbAlRh2Cl after structural relaxation. Source: Alexandria via LeMat-Bulk, functional PBEsol.

Geometry as CIF:
```
data_NbAlRh2Cl
_cell_length_a 4.6142
_cell_length_b 4.6142
_cell_length_c 5.3212
_cell_angle_alpha 90.00
_cell_angle_beta 90.00
_cell_angle_gamma 90.00
_symmetry_space_group_name_H-M 'P 1'
_symmetry_Int_Tables_number 1
_symmetry_space_group_name_Hall 'P 1'
loop_
_atom_site_label
_atom_site_fract_x
_atom_site_fract_y
_atom_site_fract_z
_atom_site_occupancy
Nb1 0.0000 0.0000 0.0000 1
Al1 0.0000 0.0000 0.5000 1
Rh1 0.5000 0.0000 0.0000 1
Rh2 0.0000 0.5000 0.0000 1
Cl1 0.5000 0.5000 0.5000 1
```

Results
uncorrected formation energy: 5.38 eV per formula unit
symmetry: No. 123
magnetic moment: 0.00 μB/f.u.

---

9.
NbAlSCl2 after structural relaxation. Source: Alexandria via LeMat-Bulk, functional PBEsol.

Geometry as CIF:
```
data_NbAlSCl2
_cell_length_a 4.7591
_cell_length_b 4.8880
_cell_length_c 4.8880
_cell_angle_alpha 90.00
_cell_angle_beta 90.00
_cell_angle_gamma 90.00
_symmetry_space_group_name_H-M 'P 1'
_symmetry_Int_Tables_number 1
_symmetry_space_group_name_Hall 'P 1'
loop_
_atom_site_label
_atom_site_fract_x
_atom_site_fract_y
_atom_site_fract_z
_atom_site_occupancy
S1 0.5000 0.0000 0.0000 1
Al1 0.5000 0.5000 0.5000 1
Cl1 0.0000 0.5000 0.0000 1
Cl2 0.0000 0.0000 0.5000 1
Nb1 0.0000 0.0000 0.0000 1
```

Results
uncorrected formation energy: -2.21 eV per formula unit
symmetry: No. 123
magnetic moment: 0.00 μB/f.u.

---

10.
NbAlTlCl2 after structural relaxation. Source: Alexandria via LeMat-Bulk, functional PBEsol.

Geometry as CIF:
```
data_NbAlTlCl2
_cell_length_a 4.4859
_cell_length_b 4.4859
_cell_length_c 5.9571
_cell_angle_alpha 90.00
_cell_angle_beta 90.00
_cell_angle_gamma 90.00
_symmetry_space_group_name_H-M 'P 1'
_symmetry_Int_Tables_number 1
_symmetry_space_group_name_Hall 'P 1'
loop_
_atom_site_label
_atom_site_fract_x
_atom_site_fract_y
_atom_site_fract_z
_atom_site_occupancy
Nb1 0.5000 0.5000 0.5000 1
Tl1 0.0000 0.0000 0.5000 1
Cl1 0.5000 0.0000 0.0000 1
Cl2 0.0000 0.5000 0.0000 1
Al1 0.0000 0.0000 0.0000 1
```

Results
uncorrected formation energy: 2.51 eV per formula unit
symmetry: No. 123
magnetic moment: 2.68 μB/f.u.

---

11.
NbAlZn2Cl after structural relaxation. Source: Alexandria via LeMat-Bulk, functional PBEsol.

Geometry as CIF:
```
data_NbAlZn2Cl
_cell_length_a 4.5386
_cell_length_b 4.5386
_cell_length_c 4.5759
_cell_angle_alpha 90.00
_cell_angle_beta 90.00
_cell_angle_gamma 90.00
_symmetry_space_group_name_H-M 'P 1'
_symmetry_Int_Tables_number 1
_symmetry_space_group_name_Hall 'P 1'
loop_
_atom_site_label
_atom_site_fract_x
_atom_site_fract_y
_atom_site_fract_z
_atom_site_occupancy
Cl1 0.0000 0.0000 0.0000 1
Zn1 0.5000 0.0000 0.0000 1
Zn2 0.0000 0.5000 0.0000 1
Al1 0.0000 0.0000 0.5000 1
Nb1 0.5000 0.5000 0.5000 1
```

Results
uncorrected formation energy: 4.71 eV per formula unit
symmetry: No. 123
magnetic moment: 0.07 μB/f.u.

---

12.
AlNi2Cl after structural relaxation. Source: Alexandria via LeMat-Bulk, functional PBEsol.

Geometry as CIF:
```
data_AlNi2Cl
_cell_length_a 4.2013
_cell_length_b 4.2013
_cell_length_c 4.2013
_cell_angle_alpha 60.00
_cell_angle_beta 60.00
_cell_angle_gamma 60.00
_symmetry_space_group_name_H-M 'P 1'
_symmetry_Int_Tables_number 1
_symmetry_space_group_name_Hall 'P 1'
loop_
_atom_site_label
_atom_site_fract_x
_atom_site_fract_y
_atom_site_fract_z
_atom_site_occupancy
Al1 0.5000 0.5000 0.5000 1
Cl1 0.2500 0.2500 0.2500 1
Ni1 0.7500 0.7500 0.7500 1
Ni2 0.0000 0.0000 0.0000 1
```

Results
uncorrected formation energy: 1.36 eV per formula unit
symmetry: No. 216
magnetic moment: 0.00 μB/f.u.

---

Number 1: theoretical density 2.15 g cm⁻³. Number 2: theoretical density 1.58 g cm⁻³. Number 3: theoretical density 2.29 g cm⁻³. Number 4: theoretical density 2.54 g cm⁻³. Number 5: theoretical density 2.83 g cm⁻³. Number 6: theoretical density 4.13 g cm⁻³. Number 7: theoretical density 3.84 g cm⁻³. Number 8: theoretical density 5.29 g cm⁻³. Number 9: theoretical density 3.25 g cm⁻³. Number 10: theoretical density 5.47 g cm⁻³. Number 11: theoretical density 5.04 g cm⁻³. Number 12: theoretical density 5.69 g cm⁻³.